An optimized crystal structure of GdErSb, computed with GGA-PBE.

Unit cell a=5.0648 b=5.0648 c=5.0648 alpha=60.00 beta=60.00 gamma=60.00
Closest atoms and distances in Å follow each position.
Element x y z (fractional)
Gd 0.7500 0.7500 0.7500  4 Sb 3.10
Er 0.2500 0.2500 0.2500  4 Sb 3.10
Sb 0.0000 0.0000 0.0000  4 Gd 3.10, 4 Er 3.10

Properties
SG: No. 216

=====

An optimized crystal structure of PrPaPO, computed with GGA-PBE.

Unit cell a=4.2696 b=7.9911 c=5.6012 alpha=90.00 beta=90.00 gamma=90.00
Closest atoms and distances in Å follow each position.
Element x y z (fractional)
Pa 0.5000 0.2023 0.4373  2 O 2.32
Pa 0.5000 0.7977 0.9373  2 O 2.32
O 0.0000 0.3163 0.4399  2 Pa 2.32, 1 Pr 2.47
O 0.0000 0.6837 0.9399  2 Pa 2.32, 1 Pr 2.47
Pr 0.0000 0.6250 0.4388  1 O 2.47
Pr 0.0000 0.3750 0.9388  1 O 2.47
P 0.5000 0.1455 0.9380  3 Pa 2.78-2.84, 2 Pr 2.81
P 0.5000 0.8545 0.4380  3 Pa 2.78-2.84, 2 Pr 2.81

Properties
E above lowest polymorph (meV per atom): 0
SG: No. 26

=====

An optimized crystal structure of TaNb5Os2, computed with GGA-PBE.

Unit cell a=5.1596 b=5.1596 c=5.1905 alpha=90.00 beta=90.00 gamma=90.00
Closest atoms and distances in Å follow each position.
Element x y z (fractional)
Os 0.5000 0.0000 0.7508  10 Nb 2.88-2.90, 2 Ta 2.89
Os 0.0000 0.5000 0.2492  10 Nb 2.88-2.90, 2 Ta 2.89
Nb 0.5000 0.2498 0.2496  2 Nb 2.58, 2 Os 2.88
Nb 0.5000 0.7502 0.2496  2 Nb 2.58, 2 Os 2.88
Nb 0.2498 0.5000 0.7504  2 Nb 2.58, 2 Os 2.88
Nb 0.0000 0.0000 0.5000  2 Ta 2.60, 4 Os 2.89
Nb 0.7502 0.5000 0.7504  2 Nb 2.58, 2 Os 2.88
Ta 0.0000 0.0000 0.0000  2 Nb 2.60, 4 Os 2.89

Properties
ΔH_f (0 K) (eV/atom): -0.26
SG: No. 115

=====

E (eV for the cell shown)
-14.9; -60.0; -86.9
V (Å³/f.u.)
92; 96; 138